A geometry-optimized ErSiIr structure, computed with PBE.

POSCAR file:
```
ErSiIr
1.0
6.864 0.000 0.000
-3.432 5.945 0.000
0.000 0.000 3.948
Er Si Ir
3 3 3
direct
0.000 0.585 0.000
0.415 0.415 0.000
0.585 0.000 0.000
0.000 0.243 0.500
0.243 0.000 0.500
0.757 0.757 0.500
0.000 0.000 0.000
0.333 0.667 0.500
0.667 0.333 0.500
```

Properties
DFT total energy   -21.7 eV per formula unit
Symmetry   No. 189